No. 1
## Be12Ni (PBE-GGA)

Data for a geometry-optimized Be12Ni structure.

```
data_Be12Ni
_cell_length_a 6.2001
_cell_length_b 6.2001
_cell_length_c 6.2001
_cell_angle_alpha 60.00
_cell_angle_beta 60.00
_cell_angle_gamma 60.00
_symmetry_space_group_name_H-M 'P 1'
_symmetry_Int_Tables_number 1
loop_
_symmetry_equiv_pos_as_xyz
'x,y,z'
loop_
_atom_site_label
_atom_site_type_symbol
_atom_site_fract_x
_atom_site_fract_y
_atom_site_fract_z
_atom_site_occupancy
Be1 Be 0.8322 0.5000 0.5000 1
Be2 Be 0.1678 0.5000 0.5000 1
Be3 Be 0.1678 0.8322 0.5000 1
Be4 Be 0.5000 0.5000 0.1678 1
Be5 Be 0.5000 0.1678 0.8322 1
Be6 Be 0.5000 0.8322 0.1678 1
Be7 Be 0.1678 0.5000 0.8322 1
Be8 Be 0.5000 0.1678 0.5000 1
Be9 Be 0.5000 0.5000 0.8322 1
Be10 Be 0.8322 0.5000 0.1678 1
Be11 Be 0.5000 0.8322 0.5000 1
Be12 Be 0.8322 0.1678 0.5000 1
Ni1 Ni 0.0000 0.0000 0.0000 1
```

Calculated values
Space group: Fm-3m
Total energy: -2.64 eV/atom

---

No. 2
## CrTcW (PBE-GGA)

Data for a geometry-optimized CrTcW structure.

```
data_CrTcW
_cell_length_a 5.0610
_cell_length_b 5.0610
_cell_length_c 5.0610
_cell_angle_alpha 144.85
_cell_angle_beta 144.85
_cell_angle_gamma 50.56
_symmetry_space_group_name_H-M 'P 1'
_symmetry_Int_Tables_number 1
loop_
_symmetry_equiv_pos_as_xyz
'x,y,z'
loop_
_atom_site_label
_atom_site_type_symbol
_atom_site_fract_x
_atom_site_fract_y
_atom_site_fract_z
_atom_site_occupancy
Cr1 Cr 0.0035 0.0035 0.0000 1
Tc1 Tc 0.3349 0.3349 0.0000 1
W1 W 0.6615 0.6615 0.0000 1
```

Calculated values
Space group: I4mm
ΔE to the lowest computed polymorph: 0.0 meV per atom

---

No. 3
## CsAgSn2Cl6 (PBE-GGA)

Data for a geometry-optimized CsAgSn2Cl6 structure.

```
data_CsAgSn2Cl6
_cell_length_a 9.9421
_cell_length_b 9.6732
_cell_length_c 9.6732
_cell_angle_alpha 103.13
_cell_angle_beta 73.18
_cell_angle_gamma 73.18
_symmetry_space_group_name_H-M 'P 1'
_symmetry_Int_Tables_number 1
loop_
_symmetry_equiv_pos_as_xyz
'x,y,z'
loop_
_atom_site_label
_atom_site_type_symbol
_atom_site_fract_x
_atom_site_fract_y
_atom_site_fract_z
_atom_site_occupancy
Cs1 Cs 0.2500 0.9078 0.0922 1
Cs2 Cs 0.7500 0.0922 0.9078 1
Ag1 Ag 0.2500 0.2204 0.7796 1
Ag2 Ag 0.7500 0.7796 0.2204 1
Sn1 Sn 0.3092 0.7197 0.5469 1
Sn2 Sn 0.1908 0.4531 0.2803 1
Sn3 Sn 0.6908 0.2803 0.4531 1
Sn4 Sn 0.8092 0.5469 0.7197 1
Cl1 Cl 0.1597 0.9811 0.7743 1
Cl2 Cl 0.3403 0.2257 0.0189 1
Cl3 Cl 0.8403 0.0189 0.2257 1
Cl4 Cl 0.6597 0.7743 0.9811 1
Cl5 Cl 0.4733 0.8325 0.3864 1
Cl6 Cl 0.0267 0.6136 0.1675 1
Cl7 Cl 0.5267 0.1675 0.6136 1
Cl8 Cl 0.9733 0.3864 0.8325 1
Cl9 Cl 0.9649 0.6995 0.6282 1
Cl10 Cl 0.5351 0.3718 0.3005 1
Cl11 Cl 0.0351 0.3005 0.3718 1
Cl12 Cl 0.4649 0.6282 0.6995 1
```

Calculated values
Raw formation energy: -1041.7 kJ/mol of formula units
Space group: C2/c

---

No. 4
## MgAgAu2 (PBE-GGA)

Data for a geometry-optimized MgAgAu2 structure.

```
data_MgAgAu2
_cell_length_a 4.9924
_cell_length_b 4.9924
_cell_length_c 4.2205
_cell_angle_alpha 64.99
_cell_angle_beta 64.99
_cell_angle_gamma 50.08
_symmetry_space_group_name_H-M 'P 1'
_symmetry_Int_Tables_number 1
loop_
_symmetry_equiv_pos_as_xyz
'x,y,z'
loop_
_atom_site_label
_atom_site_type_symbol
_atom_site_fract_x
_atom_site_fract_y
_atom_site_fract_z
_atom_site_occupancy
Mg1 Mg 0.2500 0.2500 0.2500 1
Au1 Au 0.0000 0.0000 0.0000 1
Au2 Au 0.5000 0.5000 0.5000 1
Ag1 Ag 0.7500 0.7500 0.7500 1
```

Calculated values
Space group: I4/mmm
Total energy: -3.10 eV/atom

---

The calculation returns the following theoretical density values, one per record and in order: 1.6, 13.0, 2.9, 12.2 g/cm³.